[1]
The following is a DFT calculation (PBE) of a relaxed PrTiIn2 crystal.

VASP energy (eV/atom): -4.75

Cell and atoms, written as CIF:
```
data_PrTiIn2
_symmetry_space_group_name_H-M 'P 4/m m m'
_symmetry_Int_Tables_number 123
_symmetry_space_group_name_Hall '-P 4 2'
_cell_length_a 3.671
_cell_length_b 3.671
_cell_length_c 7.250
_cell_angle_alpha 90.00
_cell_angle_beta 90.00
_cell_angle_gamma 90.00
loop_
_atom_site_label
_atom_site_type_symbol
_atom_site_fract_x
_atom_site_fract_y
_atom_site_fract_z
Pr1 Pr 0.000 0.000 0.000
Ti1 Ti 0.000 0.000 0.500
In1 In 0.500 0.500 0.293
```

***

[2]
The following is a DFT calculation (PBE) of a relaxed LiDyAg2 crystal.

Excess energy over the best structure of this formula in the dataset (eV/atom): 0.058

Cell and atoms, written as CIF:
```
data_LiDyAg2
_symmetry_space_group_name_H-M 'P 4/m m m'
_symmetry_Int_Tables_number 123
_symmetry_space_group_name_Hall '-P 4 2'
_cell_length_a 4.982
_cell_length_b 4.982
_cell_length_c 3.431
_cell_angle_alpha 90.00
_cell_angle_beta 90.00
_cell_angle_gamma 90.00
loop_
_atom_site_label
_atom_site_type_symbol
_atom_site_fract_x
_atom_site_fract_y
_atom_site_fract_z
Li1 Li 0.000 0.000 0.000
Dy1 Dy 0.500 0.500 0.000
Ag1 Ag 0.000 0.500 0.500
```

***

[3]
The following is a DFT calculation (PBE) of a relaxed GdYIrPt crystal.

VASP energy (eV/atom): -9.83

Cell and atoms, written as CIF:
```
data_GdYIrPt
_symmetry_space_group_name_H-M 'F -4 3 m'
_symmetry_Int_Tables_number 216
_symmetry_space_group_name_Hall 'F -4 2 3'
_cell_length_a 6.961
_cell_length_b 6.961
_cell_length_c 6.961
_cell_angle_alpha 90.00
_cell_angle_beta 90.00
_cell_angle_gamma 90.00
loop_
_atom_site_label
_atom_site_type_symbol
_atom_site_fract_x
_atom_site_fract_y
_atom_site_fract_z
Gd1 Gd 0.000 0.000 0.000
Y1 Y 0.000 0.000 0.500
Ir1 Ir 0.250 0.250 0.750
Pt1 Pt 0.250 0.250 0.250
```

***

[4]
The following is a DFT calculation (PBE) of a relaxed LiPb4Au crystal.

VASP energy (eV/atom): -3.40

Cell and atoms, written as CIF:
```
data_LiPb4Au
_symmetry_space_group_name_H-M 'C 1 2/c 1'
_symmetry_Int_Tables_number 15
_symmetry_space_group_name_Hall '-C 2yc'
_cell_length_a 9.231
_cell_length_b 13.562
_cell_length_c 6.011
_cell_angle_alpha 90.00
_cell_angle_beta 117.44
_cell_angle_gamma 90.00
loop_
_atom_site_label
_atom_site_type_symbol
_atom_site_fract_x
_atom_site_fract_y
_atom_site_fract_z
Li1 Li 0.000 0.133 0.250
Pb1 Pb 0.129 0.321 0.603
Pb2 Pb 0.200 0.070 0.803
Au1 Au 0.000 0.493 0.250
```

***

[5]
The following is a DFT calculation (PBE) of a relaxed DyHo8Sc2 crystal.

Excess energy over the best structure of this formula in the dataset (eV/atom): 0.000

Cell and atoms, written as CIF:
```
data_DyHo8Sc2
_symmetry_space_group_name_H-M 'I m m m'
_symmetry_Int_Tables_number 71
_symmetry_space_group_name_Hall '-I 2 2'
_cell_length_a 5.333
_cell_length_b 8.133
_cell_length_c 15.428
_cell_angle_alpha 90.00
_cell_angle_beta 90.00
_cell_angle_gamma 90.00
loop_
_atom_site_label
_atom_site_type_symbol
_atom_site_fract_x
_atom_site_fract_y
_atom_site_fract_z
Dy1 Dy 0.000 0.000 0.000
Ho1 Ho 0.000 0.201 0.500
Ho2 Ho 0.000 0.295 0.142
Ho3 Ho 0.000 0.500 0.338
Sc1 Sc 0.000 0.000 0.299
```

***

[6]
The following is a DFT calculation (PBE) of a relaxed Ba3Zn8Cd3 crystal.

Excess energy over the best structure of this formula in the dataset (eV/atom): 0.000

Cell and atoms, written as CIF:
```
data_Ba3Zn8Cd3
_symmetry_space_group_name_H-M 'I m m m'
_symmetry_Int_Tables_number 71
_symmetry_space_group_name_Hall '-I 2 2'
_cell_length_a 4.862
_cell_length_b 9.572
_cell_length_c 14.548
_cell_angle_alpha 90.00
_cell_angle_beta 90.00
_cell_angle_gamma 90.00
loop_
_atom_site_label
_atom_site_type_symbol
_atom_site_fract_x
_atom_site_fract_y
_atom_site_fract_z
Ba1 Ba 0.000 0.000 0.000
Ba2 Ba 0.000 0.000 0.299
Zn1 Zn 0.000 0.279 0.145
Zn2 Zn 0.000 0.359 0.334
Cd1 Cd 0.000 0.204 0.500
Cd2 Cd 0.000 0.500 0.000
```

***

[7]
The following is a DFT calculation (PBE) of a relaxed Na4Tl6Ga crystal.

VASP energy (eV/atom): -2.07

Cell and atoms, written as CIF:
```
data_Na4Tl6Ga
_symmetry_space_group_name_H-M 'I -4 2 m'
_symmetry_Int_Tables_number 121
_symmetry_space_group_name_Hall 'I -4 2'
_cell_length_a 6.268
_cell_length_b 6.268
_cell_length_c 16.789
_cell_angle_alpha 90.00
_cell_angle_beta 90.00
_cell_angle_gamma 90.00
loop_
_atom_site_label
_atom_site_type_symbol
_atom_site_fract_x
_atom_site_fract_y
_atom_site_fract_z
Na1 Na 0.194 0.194 0.170
Tl1 Tl 0.000 0.500 0.000
Tl2 Tl 0.189 0.189 0.365
Ga1 Ga 0.000 0.000 0.000
```

***

[8]
The following is a DFT calculation (PBE) of a relaxed HfScNbMo crystal.

VASP energy (eV/atom): -9.20

Cell and atoms, written as CIF:
```
data_HfScNbMo
_symmetry_space_group_name_H-M 'F -4 3 m'
_symmetry_Int_Tables_number 216
_symmetry_space_group_name_Hall 'F -4 2 3'
_cell_length_a 6.734
_cell_length_b 6.734
_cell_length_c 6.734
_cell_angle_alpha 90.00
_cell_angle_beta 90.00
_cell_angle_gamma 90.00
loop_
_atom_site_label
_atom_site_type_symbol
_atom_site_fract_x
_atom_site_fract_y
_atom_site_fract_z
Hf1 Hf 0.000 0.000 0.000
Sc1 Sc 0.250 0.250 0.250
Nb1 Nb 0.000 0.000 0.500
Mo1 Mo 0.250 0.250 0.750
```

***

[9]
The following is a DFT calculation (PBE) of a relaxed Sr2PuMo2N6 crystal.

Uncorrected formation energy (eV/atom): -0.6607

Cell and atoms, written as CIF:
```
data_Sr2PuMo2N6
_symmetry_space_group_name_H-M 'R -3 m'
_symmetry_Int_Tables_number 166
_symmetry_space_group_name_Hall '-R 3 2"'
_cell_length_a 6.1045
_cell_length_b 6.1045
_cell_length_c 18.0178
_cell_angle_alpha 90.00
_cell_angle_beta 90.00
_cell_angle_gamma 120.00
loop_
_atom_site_label
_atom_site_type_symbol
_atom_site_fract_x
_atom_site_fract_y
_atom_site_fract_z
Sr1 Sr 0.0000 0.0000 0.2064
Pu1 Pu 0.0000 0.0000 0.0000
Mo1 Mo 0.0000 0.0000 0.4272
N1 N 0.0127 0.5064 0.7486
```

***

[10]
The following is a DFT calculation (PBE) of a relaxed TlCdSeO4 crystal.

Uncorrected formation energy (eV/atom): -0.5907

Cell and atoms, written as CIF:
```
data_TlCdSeO4
_symmetry_space_group_name_H-M 'F -4 3 m'
_symmetry_Int_Tables_number 216
_symmetry_space_group_name_Hall 'F -4 2 3'
_cell_length_a 9.049
_cell_length_b 9.049
_cell_length_c 9.049
_cell_angle_alpha 90.00
_cell_angle_beta 90.00
_cell_angle_gamma 90.00
loop_
_atom_site_label
_atom_site_type_symbol
_atom_site_fract_x
_atom_site_fract_y
_atom_site_fract_z
Tl1 Tl 0.000 0.000 0.000
Cd1 Cd 0.250 0.250 0.250
Se1 Se 0.000 0.000 0.500
O1 O 0.110 0.110 0.390
```

***

[11]
The following is a DFT calculation (PBE) of a relaxed AlTl2ZnS4 crystal.

Uncorrected formation energy (eV/atom): -0.5857

Cell and atoms, written as CIF:
```
data_AlTl2ZnS4
_symmetry_space_group_name_H-M 'C 1 2 1'
_symmetry_Int_Tables_number 5
_symmetry_space_group_name_Hall 'C 2y'
_cell_length_a 9.564
_cell_length_b 8.791
_cell_length_c 6.771
_cell_angle_alpha 90.00
_cell_angle_beta 134.92
_cell_angle_gamma 90.00
loop_
_atom_site_label
_atom_site_type_symbol
_atom_site_fract_x
_atom_site_fract_y
_atom_site_fract_z
Al1 Al 0.000 0.000 0.000
Tl1 Tl 0.000 0.499 0.000
Tl2 Tl 0.000 0.749 0.500
Zn1 Zn 0.000 0.250 0.500
S1 S 0.166 0.132 0.932
S2 S 0.234 0.868 0.400
```

***

[12]
The following is a DFT calculation (PBE) of a relaxed MgGeBr4 crystal.

Uncorrected formation energy (eV/atom): -1.0166

Cell and atoms, written as CIF:
```
data_MgGeBr4
_symmetry_space_group_name_H-M 'C 1 2/m 1'
_symmetry_Int_Tables_number 12
_symmetry_space_group_name_Hall '-C 2y'
_cell_length_a 15.411
_cell_length_b 3.960
_cell_length_c 6.964
_cell_angle_alpha 90.00
_cell_angle_beta 115.84
_cell_angle_gamma 90.00
loop_
_atom_site_label
_atom_site_type_symbol
_atom_site_fract_x
_atom_site_fract_y
_atom_site_fract_z
Mg1 Mg 0.000 0.000 0.000
Ge1 Ge 0.000 0.500 0.500
Br1 Br 0.110 0.500 0.261
Br2 Br 0.113 0.000 0.793
```